Entry 1:
{"formula": "Ce4C2I5", "functional": "PBE", "state": "optimized geometry", "spacegroup": "Immm, No. 71", "e_form_raw_ev_per_atom": -1.001, "lattice": [[-2.030, 4.382, 10.137], [2.030, -4.382, 10.137], [2.030, 4.382, -10.137]], "species": ["Ce", "Ce", "Ce", "Ce", "C", "C", "I", "I", "I", "I", "I"], "frac_coords": [[0.146, 0.146, 0.000], [0.186, 0.500, 0.686], [0.814, 0.500, 0.314], [0.854, 0.854, 0.000], [0.035, 0.035, 0.000], [0.965, 0.965, 0.000], [0.118, 0.342, 0.776], [0.434, 0.658, 0.776], [0.500, 0.000, 0.500], [0.566, 0.342, 0.224], [0.882, 0.658, 0.224]]}



Entry 2:
{"formula": "BaNaAcAg", "functional": "PBE", "state": "optimized geometry", "e_form_kj_per_mol_atoms": 4.9, "spacegroup": "F-43m, No. 216", "lattice": [[0.000, 4.203, 4.203], [4.203, 0.000, 4.203], [4.203, 4.203, 0.000]], "species": ["Ba", "Na", "Ac", "Ag"], "frac_coords": [[0.000, 0.000, 0.000], [0.250, 0.250, 0.250], [0.500, 0.500, 0.500], [0.750, 0.750, 0.750]]}